(1)
The following is a DFT calculation (PBE) of PrSnNO after structural relaxation.

The structure belongs to space group P4/nmm (No. 129, origin choice 2); the cell edges are 4.970, 4.970 and 5.345 Å and the angles 90.00°, 90.00° and 90.00°. The inequivalent atoms are Pr at (0.250, 0.750, 0.000), Sn at (0.250, 0.250, 0.494), N at (0.250, 0.250, 0.887) and O at (0.250, 0.750, 0.500).


(2)
The following is a DFT calculation (PBE) of PrSnNO after structural relaxation.

The structure belongs to space group P4/nmm (No. 129, origin choice 2); the cell edges are 5.032, 5.032 and 5.288 Å and the angles 90.00°, 90.00° and 90.00°. The inequivalent atoms are Pr at (0.250, 0.750, 0.000), Sn at (0.250, 0.250, 0.496), N at (0.250, 0.250, 0.098) and O at (0.250, 0.750, 0.500).


(3)
The following is a DFT calculation (PBE) of PrSnNO after structural relaxation.

The structure belongs to space group Pca2_1 (No. 29); the cell edges are 5.927, 8.511 and 5.742 Å and the angles 90.00°, 90.00° and 90.00°. The inequivalent atoms are Pr at (0.009, 0.133, 0.000), Sn at (0.037, 0.619, 0.995), N at (0.111, 0.596, 0.617) and O at (0.247, 0.992, 0.247).


(4)
The following is a DFT calculation (PBE) of PrSnNO after structural relaxation.

The structure belongs to space group Pca2_1 (No. 29); the cell edges are 6.921, 7.216 and 5.845 Å and the angles 90.00°, 90.00° and 90.00°. The inequivalent atoms are Pr at (0.084, 0.161, 0.000), Sn at (0.118, 0.667, 0.993), N at (0.084, 0.121, 0.590) and O at (0.056, 0.444, 0.217).


(5)
The following is a DFT calculation (PBE) of PrSnNO after structural relaxation.

The structure belongs to space group P4/nmm (No. 129, origin choice 2); the cell edges are 4.292, 4.292 and 7.835 Å and the angles 90.00°, 90.00° and 90.00°. The inequivalent atoms are Pr at (0.250, 0.250, 0.134), Sn at (0.250, 0.750, 0.500), N at (0.250, 0.250, 0.631) and O at (0.250, 0.750, 0.000).


(6)
The following is a DFT calculation (PBE) of PrTaNO after structural relaxation.

The structure belongs to space group P4/nmm (No. 129, origin choice 2); the cell edges are 4.490, 4.490 and 6.054 Å and the angles 90.00°, 90.00° and 90.00°. The inequivalent atoms are Pr at (0.250, 0.750, 0.000), Ta at (0.250, 0.250, 0.479), N at (0.250, 0.250, 0.168) and O at (0.250, 0.750, 0.500).


(7)
The following is a DFT calculation (PBE) of PrTaNO after structural relaxation.

The structure belongs to space group Pmma (No. 51); the cell edges are 5.290, 4.090 and 5.471 Å and the angles 90.00°, 90.00° and 90.00°. The inequivalent atoms are Pr at (0.250, 0.000, 0.232), Ta at (0.250, 0.500, 0.709), N at (0.250, 0.000, 0.696) and O at (0.000, 0.500, 0.000).


(8)
The following is a DFT calculation (PBE) of PrTaNO after structural relaxation.

The structure belongs to space group P4/nmm (No. 129, origin choice 2); the cell edges are 4.157, 4.157 and 8.273 Å and the angles 90.00°, 90.00° and 90.00°. The inequivalent atoms are Pr at (0.250, 0.250, 0.139), Ta at (0.250, 0.750, 0.500), N at (0.250, 0.250, 0.472) and O at (0.250, 0.750, 0.000).


Number 1: spin magnetization 0.00 μB/cell, E above lowest polymorph 355 meV/atom. Number 2: spin magnetization 0.00 μB/cell, E above lowest polymorph 348 meV/atom. Number 3: spin magnetization 0.00 μB/cell, E above lowest polymorph 0 meV/atom. Number 4: spin magnetization 0.00 μB/cell, E above lowest polymorph 266 meV/atom. Number 5: spin magnetization 0.00 μB/cell, E above lowest polymorph 497 meV/atom. Number 6: spin magnetization 0.03 μB/cell, E above lowest polymorph 647 meV/atom. Number 7: spin magnetization 0.01 μB/cell, E above lowest polymorph 85 meV/atom. Number 8: spin magnetization 0.00 μB/cell, E above lowest polymorph 0 meV/atom.